(1)
# SrEr5In3 PBE optimized geometry
# Energy of formation   -0.305 eV/atom
# Total magnetic moment   0.0 Bohr magnetons per cell
data_SrEr5In3
_chemical_formula_sum 'Sr2 Er10 In6'
_cell_length_a 9.3557
_cell_length_b 9.3557
_cell_length_c 6.8216
_cell_angle_alpha 90.00
_cell_angle_beta 90.00
_cell_angle_gamma 120.00
_space_group_name_H-M_alt 'P 63/m c m'
_space_group_IT_number 193
_space_group_name_Hall '-P 6c 2'
loop_
_atom_site_label
_atom_site_fract_x
_atom_site_fract_y
_atom_site_fract_z
Sr1 0.0000 0.0000 0.0000
Er1 0.0000 0.3386 0.2500
Er2 0.3333 0.6667 0.0000
In1 0.0000 0.3356 0.7500

---

(2)
# BaCd3 PBE optimized geometry
# Energy of formation   -0.184 eV/atom
# Total magnetic moment   0.0 Bohr magnetons per cell
data_BaCd3
_chemical_formula_sum 'Ba1 Cd3'
_cell_length_a 3.941
_cell_length_b 5.233
_cell_length_c 6.233
_cell_angle_alpha 90.00
_cell_angle_beta 90.00
_cell_angle_gamma 90.00
_space_group_name_H-M_alt 'P m m m'
_space_group_IT_number 47
_space_group_name_Hall '-P 2 2'
loop_
_atom_site_label
_atom_site_fract_x
_atom_site_fract_y
_atom_site_fract_z
Ba1 0.000 0.000 0.000
Cd1 0.500 0.000 0.500
Cd2 0.500 0.500 0.260

---

(3)
# Ta2CrP PBE optimized geometry
# Energy of formation   -0.029 eV/atom
# Total magnetic moment   0.0 Bohr magnetons per cell
data_Ta2CrP
_chemical_formula_sum 'Ta6 Cr3 P3'
_cell_length_a 3.2186
_cell_length_b 3.2186
_cell_length_c 21.5244
_cell_angle_alpha 90.00
_cell_angle_beta 90.00
_cell_angle_gamma 120.00
_space_group_name_H-M_alt 'R -3 m'
_space_group_IT_number 166
_space_group_name_Hall '-R 3 2"'
loop_
_atom_site_label
_atom_site_fract_x
_atom_site_fract_y
_atom_site_fract_z
Ta1 0.0000 0.0000 0.2455
Cr1 0.0000 0.0000 0.0000
P1 0.0000 0.0000 0.5000

---

(4)
# Cs2CdInHg PBE optimized geometry
# Energy above the most stable polymorph in this dataset   1.4 kJ/mol of atoms
# Energy of formation   0.054 eV/atom
# Total magnetic moment   0.0 Bohr magnetons per cell
data_Cs2CdInHg
_chemical_formula_sum 'Cs2 Cd1 In1 Hg1'
_cell_length_a 7.315
_cell_length_b 7.315
_cell_length_c 5.556
_cell_angle_alpha 90.00
_cell_angle_beta 90.00
_cell_angle_gamma 90.00
_space_group_name_H-M_alt 'P 4/m m m'
_space_group_IT_number 123
_space_group_name_Hall '-P 4 2'
loop_
_atom_site_label
_atom_site_fract_x
_atom_site_fract_y
_atom_site_fract_z
Cs1 0.000 0.500 0.000
Cd1 0.000 0.000 0.500
In1 0.500 0.500 0.500
Hg1 0.500 0.500 0.000

---

(5)
# HfZr3Ru PBE optimized geometry
# Energy above the most stable polymorph in this dataset   0.0 kJ/mol of atoms
# Energy of formation   -0.045 eV/atom
# Total magnetic moment   0.0 Bohr magnetons per cell
data_HfZr3Ru
_chemical_formula_sum 'Hf4 Zr12 Ru4'
_cell_length_a 7.877
_cell_length_b 9.943
_cell_length_c 5.720
_cell_angle_alpha 90.00
_cell_angle_beta 90.00
_cell_angle_gamma 90.00
_space_group_name_H-M_alt 'C m c 21'
_space_group_IT_number 36
_space_group_name_Hall 'C 2c -2'
loop_
_atom_site_label
_atom_site_fract_x
_atom_site_fract_y
_atom_site_fract_z
Hf1 0.000 0.094 0.000
Zr1 0.000 0.374 0.699
Zr2 0.204 0.349 0.174
Ru1 0.000 0.169 0.440

---

(6)
# KCoICl6 PBE optimized geometry
# ΔE_f (raw)   -667 meV/atom
# Total magnetic moment   1.1 Bohr magnetons per cell
data_KCoICl6
_chemical_formula_sum 'K1 Co1 I1 Cl6'
_cell_length_a 6.474
_cell_length_b 7.559
_cell_length_c 7.810
_cell_angle_alpha 61.77
_cell_angle_beta 65.66
_cell_angle_gamma 64.67
_space_group_name_H-M_alt 'P 1'
_space_group_IT_number 1
_space_group_name_Hall 'P 1'
loop_
_atom_site_label
_atom_site_fract_x
_atom_site_fract_y
_atom_site_fract_z
K1 0.000 0.000 0.000
Co1 0.355 0.216 0.301
I1 0.194 0.667 0.535
Cl1 0.054 0.046 0.511
Cl2 0.063 0.500 0.217
Cl3 0.319 0.281 0.580
Cl4 0.407 0.128 0.049
Cl5 0.615 0.916 0.422
Cl6 0.621 0.388 0.114